VASP calculation (PBE-GGA) on crystalline NiIr5 at its relaxed geometry.

Structure (POSCAR):
```
NiIr5
1.0
-1.911 1.915 -4.285
0.168 -5.019 0.679
-4.059 0.116 1.862
Ir Ni
5 1
direct
0.333 0.667 0.000 Ir
0.667 0.333 0.000 Ir
0.500 0.500 0.500 Ir
0.500 0.000 0.500 Ir
0.000 0.500 0.500 Ir
0.000 0.000 0.000 Ni
```

Results
Excess energy over the best structure of this formula in the dataset = 16.02 kcal/mol of atoms
V = 99 Å³/cell
DFT formation energy = 69.9 kJ/mol of atoms
ρ = 17.0 g/cm3